Below is crystalline Sc3HgO at its relaxed geometry, with properties calculated at the GGA-PBE level.

Output
crystal system: orthorhombic
excess energy over the best structure of this formula in the dataset: 111 meV per atom
total energy: -6.233 eV/atom
total moment: 0.00 μB per atom

Cell lengths 3.333, 4.306, 6.241 Å; angles 90.00, 90.00, 90.00 degrees
Space group Pmmm (No. 47)
Unique sites:
Sc1 0.000 0.000 0.000
Sc2 0.500 0.500 0.246
Hg1 0.000 0.000 0.500
O1 0.000 0.500 0.000

=====

Below is crystalline SiTeI3 at its relaxed geometry, with properties calculated at the GGA-PBE level.

Output
crystal system: cubic
excess energy over the best structure of this formula in the dataset: 325 meV per atom
total energy: -1.963 eV/atom
total moment: 0.25 μB per atom

Cell lengths 6.047, 6.047, 6.047 Å; angles 90.00, 90.00, 90.00 degrees
Space group Pm-3m (No. 221)
Unique sites:
Si1 0.000 0.000 0.000
Te1 0.500 0.500 0.500
I1 0.000 0.500 0.500

=====

Below is crystalline CsPbSe2Br at its relaxed geometry, with properties calculated at the GGA-PBE level.

Output
crystal system: tetragonal
excess energy over the best structure of this formula in the dataset: 974 meV per atom
total energy: -2.249 eV/atom
total moment: 0.00 μB per atom

Cell lengths 5.742, 5.742, 6.247 Å; angles 90.00, 90.00, 90.00 degrees
Space group P4/mmm (No. 123)
Unique sites:
Cs1 0.000 0.000 0.000
Pb1 0.500 0.500 0.500
Se1 0.000 0.500 0.000
Br1 0.000 0.000 0.500

=====

Below is crystalline Tl2TcSe at its relaxed geometry, with properties calculated at the GGA-PBE level.

Output
crystal system: trigonal
excess energy over the best structure of this formula in the dataset: 0 meV per atom
total energy: -4.584 eV/atom
total moment: 0.00 μB per atom

Cell lengths 3.3078, 3.3078, 30.9312 Å; angles 90.00, 90.00, 120.00 degrees
Space group R3m (No. 160, hexagonal axes)
Unique sites:
Tl1 0.0000 0.0000 0.0000
Tl2 0.0000 0.0000 0.2400
Tc1 0.0000 0.0000 0.7411
Se1 0.0000 0.0000 0.4574

=====

Below is crystalline CrSb2Au at its relaxed geometry, with properties calculated at the GGA-PBE level.

Output
crystal system: tetragonal
total energy: -5.030 eV/atom
total moment: 0.93 μB per atom

Cell lengths 4.762, 4.762, 17.303 Å; angles 90.00, 90.00, 90.00 degrees
Space group I-42d (No. 122)
Unique sites:
Cr1 0.000 0.000 0.000
Sb1 0.238 0.250 0.125
Au1 0.000 0.000 0.500

=====

Below is crystalline Ce3Bi2Sb at its relaxed geometry, with properties calculated at the GGA-PBE level.

Output
crystal system: orthorhombic
excess energy over the best structure of this formula in the dataset: 396 meV per atom
total energy: -5.424 eV/atom
total moment: 0.34 μB per atom

Cell lengths 14.632, 8.282, 6.196 Å; angles 90.00, 90.00, 90.00 degrees
Space group Cmcm (No. 63)
Unique sites:
Ce1 0.000 0.106 0.250
Ce2 0.124 0.343 0.250
Bi1 0.196 0.000 0.000
Sb1 0.000 0.321 0.750